Here is KFeH5S2O10 at its PBEsol-relaxed geometry from Alexandria. Energies are from SCAN.

Results
**Total magnetic moment**: 4.00 μB/f.u.
**Total DFT energy (no corrections)**: -153.4 eV for the cell shown

a b c (Å): 4.5522 5.8349 8.1779
angles (deg): 103.47 97.45 98.05
Element x y z (fractional)
K (0.0020, 0.0030, 0.5016)
Fe (0.9995, 0.0035, 0.0022)
H (0.9414, 0.3423, 0.8319)
H (0.0576, 0.6637, 0.1717)
H (0.6265, 0.2819, 0.8988)
H (0.3728, 0.7252, 0.1053)
H (0.4996, 0.5040, 0.5023)
S (0.3788, 0.6837, 0.7578)
S (0.6200, 0.3227, 0.2464)
O (0.8053, 0.2181, 0.8663)
O (0.1937, 0.7885, 0.1378)
O (0.5053, 0.6979, 0.5963)
O (0.4938, 0.3090, 0.4078)
O (0.6284, 0.7195, 0.9026)
O (0.3705, 0.2870, 0.1014)
O (0.1943, 0.4455, 0.7270)
O (0.8051, 0.5606, 0.2767)
O (0.2016, 0.8792, 0.7894)
O (0.7969, 0.1269, 0.2147)